The following is a PBE calculation of an optimized crystal structure of LiTlSbBr6, from Alexandria.

Properties
Fermi-level density of states (states/eV per cell): 6.0
Total energy (eV per atom): -2.830

abc: 7.0898 7.0898 7.2527
angles: 90.00 90.00 120.00
Space group P312 (No. 149)
Unique sites:
Li 0.0000 0.0000 0.0000 (multiplicity 1)
Tl 0.6667 0.3333 0.5000 (multiplicity 1)
Sb 0.3333 0.6667 0.0000 (multiplicity 1)
Br 0.0335 0.3383 0.2162 (multiplicity 6)



The following is a PBE calculation of an optimized crystal structure of Li2TlSbBr6, from Alexandria.

Properties
Fermi-level density of states (states/eV per cell): 0.0
Total energy (eV per atom): -3.067

abc: 6.999 7.000 8.939
angles: 89.95 66.96 60.03
Space group P1 (No. 1)
Unique sites:
Li 0.000 0.000 0.000 (multiplicity 1)
Li 0.322 0.339 0.016 (multiplicity 1)
Tl 0.661 0.169 0.508 (multiplicity 1)
Sb 0.661 0.670 0.008 (multiplicity 1)
Br 0.128 0.267 0.812 (multiplicity 1)
Br 0.194 0.073 0.203 (multiplicity 1)
Br 0.453 0.606 0.812 (multiplicity 1)
Br 0.530 0.397 0.203 (multiplicity 1)
Br 0.792 0.942 0.813 (multiplicity 1)
Br 0.869 0.733 0.203 (multiplicity 1)



The following is a PBE calculation of an optimized crystal structure of LiVSbBr2, from Alexandria.

Properties
Fermi-level density of states (states/eV per cell): 7.8
Total energy (eV per atom): -3.431

abc: 4.697 4.697 5.750
angles: 90.00 90.00 90.00
Space group P4/mmm (No. 123)
Unique sites:
Li 0.000 0.000 0.000 (multiplicity 1)
V 0.000 0.000 0.500 (multiplicity 1)
Sb 0.500 0.500 0.500 (multiplicity 1)
Br 0.000 0.500 0.000 (multiplicity 2)



The following is a PBE calculation of an optimized crystal structure of LiScBr, from Alexandria.

Properties
Fermi-level density of states (states/eV per cell): 1.3
Total energy (eV per atom): -3.919

abc: 3.4985 3.4985 6.5977
angles: 90.00 90.00 120.00
Space group P3m1 (No. 156)
Unique sites:
Li 0.0000 0.0000 0.0000 (multiplicity 1)
Sc 0.3333 0.6667 0.3778 (multiplicity 1)
Br 0.6667 0.3333 0.6748 (multiplicity 1)



The following is a PBE calculation of an optimized crystal structure of LiScBr2, from Alexandria.

Properties
Fermi-level density of states (states/eV per cell): 2.4
Total energy (eV per atom): -3.741

abc: 3.740 3.898 6.319
angles: 90.00 90.00 90.00
Space group Pmmm (No. 47)
Unique sites:
Li 0.000 0.000 0.000 (multiplicity 1)
Sc 0.500 0.000 0.500 (multiplicity 1)
Br 0.000 0.500 0.500 (multiplicity 1)
Br 0.500 0.500 0.000 (multiplicity 1)



The following is a PBE calculation of an optimized crystal structure of LiScBr2, from Alexandria.

Properties
Fermi-level density of states (states/eV per cell): 3.9
Total energy (eV per atom): -3.734

abc: 3.822 3.822 13.675
angles: 90.00 90.00 90.00
Space group I-4m2 (No. 119)
Unique sites:
Li 0.000 0.000 0.000 (multiplicity 2)
Sc 0.000 0.500 0.750 (multiplicity 2)
Br 0.000 0.000 0.500 (multiplicity 2)
Br 0.000 0.500 0.250 (multiplicity 2)



The following is a PBE calculation of an optimized crystal structure of Li2ScBr, from Alexandria.

Properties
Fermi-level density of states (states/eV per cell): 3.4
Total energy (eV per atom): -3.363

abc: 3.286 3.286 8.165
angles: 90.00 90.00 90.00
Space group P4/mmm (No. 123)
Unique sites:
Li 0.000 0.000 0.191 (multiplicity 2)
Sc 0.500 0.500 0.500 (multiplicity 1)
Br 0.500 0.500 0.000 (multiplicity 1)



The following is a PBE calculation of an optimized crystal structure of Li4ScBr, from Alexandria.

Properties
Fermi-level density of states (states/eV per cell): 21.4
Total energy (eV per atom): -2.528

abc: 8.085 8.085 8.085
angles: 90.00 90.00 90.00
Space group F-43m (No. 216)
Unique sites:
Li 0.125 0.125 0.125 (multiplicity 16)
Sc 0.250 0.250 0.750 (multiplicity 4)
Br 0.000 0.000 0.500 (multiplicity 4)



Number 1: M_tot 0.00 μB per atom. Number 2: M_tot 0.00 μB per atom. Number 3: M_tot 0.59 μB per atom. Number 4: M_tot 0.33 μB per atom. Number 5: M_tot 0.00 μB per atom. Number 6: M_tot 0.31 μB per atom. Number 7: M_tot 0.07 μB per atom. Number 8: M_tot 0.10 μB per atom.